[1]
Here is a relaxed CuCS2 crystal from Alexandria via LeMat-Bulk. Energies are from PBE.

Total DFT energy (no corrections) ... -19.645 eV per cell

Cell and atoms, written as POSCAR:
```
CuCS2
1.0
4.240 1.819 3.984
5.854 1.571 0.654
3.789 4.534 1.498
S Cu C
2 1 1
direct
0.093 0.093 0.093
0.907 0.907 0.907
0.500 0.500 0.500
0.000 0.000 0.000
```

***

[2]
Here is a relaxed HfTa crystal from Alexandria via LeMat-Bulk. Energies are from PBE.

ΔE_f ... 1879 meV per atom

Cell and atoms, written as POSCAR:
```
HfTa
1.0
-4.836 -0.084 0.179
2.564 -3.454 2.218
0.117 3.013 4.558
Hf Ta
2 2
direct
0.333 0.667 0.250
0.667 0.333 0.750
0.667 0.333 0.250
0.333 0.667 0.750
```

***

[3]
Here is a relaxed BeCrS3 crystal from Alexandria via LeMat-Bulk. Energies are from PBE.

Polymorph energy (0 for the lowest one) ... 0.257 eV per atom

Cell and atoms, written as POSCAR:
```
BeCrS3
1.0
4.464 0.000 0.000
0.000 4.464 0.000
0.000 0.000 4.464
Cr S Be
1 3 1
direct
0.000 0.000 0.000
0.000 0.000 0.500
0.500 0.000 0.000
0.000 0.500 0.000
0.500 0.500 0.500
```